Entry from the Alexandria database: PaGa3Ni after structural relaxation (PBE-GGA).

Lattice parameters (Å, degrees): 6.0557 5.3529 5.7520 90.00 90.00 90.00
Space group Pmn2_1 (No. 31)
Inequivalent atoms, fractional coordinates:
Pa 0.0000 0.1287 0.0000 (multiplicity 2)
Ga 0.0000 0.9042 0.5308 (multiplicity 2)
Ga 0.2378 0.3482 0.4132 (multiplicity 4)
Ni 0.0000 0.6320 0.2117 (multiplicity 2)

Properties
M_tot (μB/f.u.): 0.0
Crystal system: orthorhombic
Total energy (eV/atom): -5.2210



Entry from the Alexandria database: PaGa4Ni4 after structural relaxation (PBE-GGA).

Lattice parameters (Å, degrees): 8.0338 8.0338 4.5426 90.00 90.00 90.00
Space group I4/m (No. 87)
Inequivalent atoms, fractional coordinates:
Pa 0.0000 0.0000 0.0000 (multiplicity 2)
Ga 0.0904 0.6369 0.5000 (multiplicity 8)
Ni 0.1586 0.7198 0.0000 (multiplicity 8)

Properties
M_tot (μB/f.u.): 0.0
Crystal system: tetragonal
Total energy (eV/atom): -5.1807



Entry from the Alexandria database: PaGa2Ni after structural relaxation (PBE-GGA).

Lattice parameters (Å, degrees): 4.9704 6.9316 4.2118 90.00 90.00 90.00
Space group Cmmm (No. 65)
Inequivalent atoms, fractional coordinates:
Pa 0.0000 0.0000 0.0000 (multiplicity 2)
Ga 0.0000 0.3140 0.5000 (multiplicity 4)
Ni 0.0000 0.5000 0.0000 (multiplicity 2)

Properties
M_tot (μB/f.u.): 0.0
Crystal system: orthorhombic
Total energy (eV/atom): -5.7360



Entry from the Alexandria database: Pa2Ga2Ni15 after structural relaxation (PBE-GGA).

Lattice parameters (Å, degrees): 8.2768 8.2768 12.3066 90.00 90.00 120.00
Space group R-3m (No. 166, hexagonal axes)
Inequivalent atoms, fractional coordinates:
Pa 0.0000 0.0000 0.1508 (multiplicity 6)
Ga 0.0000 0.0000 0.3971 (multiplicity 6)
Ni 0.0000 0.3069 0.5000 (multiplicity 18)
Ni 0.0000 0.5000 0.0000 (multiplicity 9)
Ni 0.0031 0.5015 0.6547 (multiplicity 18)

Properties
M_tot (μB/f.u.): 0.0
Crystal system: trigonal
Total energy (eV/atom): -6.1874



Entry from the Alexandria database: PaGa2Ni6 after structural relaxation (PBE-GGA).

Lattice parameters (Å, degrees): 3.3369 6.1606 12.4319 90.00 90.00 90.00
Space group Immm (No. 71)
Inequivalent atoms, fractional coordinates:
Pa 0.0000 0.0000 0.0000 (multiplicity 2)
Ga 0.0000 0.5000 0.1388 (multiplicity 4)
Ni 0.0000 0.1851 0.5000 (multiplicity 4)
Ni 0.0000 0.3015 0.3167 (multiplicity 8)

Properties
M_tot (μB/f.u.): 0.0
Crystal system: orthorhombic
Total energy (eV/atom): -5.7477



Entry from the Alexandria database: Pa2Ga4Ni3Pd after structural relaxation (PBE-GGA).

Lattice parameters (Å, degrees): 3.9804 3.9804 10.5450 90.00 90.00 90.00
Space group P-4m2 (No. 115)
Inequivalent atoms, fractional coordinates:
Pa 0.0000 0.5000 0.2390 (multiplicity 2)
Ga 0.0000 0.0000 0.0000 (multiplicity 1)
Ga 0.0000 0.5000 0.6388 (multiplicity 2)
Ga 0.5000 0.5000 0.0000 (multiplicity 1)
Ni 0.0000 0.5000 0.8620 (multiplicity 2)
Ni 0.5000 0.5000 0.5000 (multiplicity 1)
Pd 0.0000 0.0000 0.5000 (multiplicity 1)

Properties
M_tot (μB/f.u.): 0.0
Crystal system: tetragonal
Total energy (eV/atom): -5.8636



Entry from the Alexandria database: PaGaNiPd after structural relaxation (PBE-GGA).

Lattice parameters (Å, degrees): 6.5707 6.5707 6.5707 90.00 90.00 90.00
Space group F-43m (No. 216)
Inequivalent atoms, fractional coordinates:
Pa 0.0000 0.0000 0.0000 (multiplicity 4)
Ga 0.0000 0.0000 0.5000 (multiplicity 4)
Ni 0.2500 0.2500 0.2500 (multiplicity 4)
Pd 0.2500 0.2500 0.7500 (multiplicity 4)

Properties
M_tot (μB/f.u.): 0.0
Crystal system: cubic
Total energy (eV/atom): -6.3151



Entry from the Alexandria database: PaGaNiPt after structural relaxation (PBE-GGA).

Lattice parameters (Å, degrees): 6.5971 6.5971 6.5971 90.00 90.00 90.00
Space group F-43m (No. 216)
Inequivalent atoms, fractional coordinates:
Pa 0.0000 0.0000 0.0000 (multiplicity 4)
Ga 0.0000 0.0000 0.5000 (multiplicity 4)
Ni 0.2500 0.2500 0.7500 (multiplicity 4)
Pt 0.2500 0.2500 0.2500 (multiplicity 4)

Properties
M_tot (μB/f.u.): 0.0
Crystal system: cubic
Total energy (eV/atom): -6.6632